1.
A geometry-optimized NaFeGe structure, computed with PBE-GGA.

Cell lengths 4.4639, 4.4639, 4.4639 Å; angles 60.00, 60.00, 60.00 degrees
Positions (direct):
Ge: 0.7500 0.7500 0.7500
Fe: 0.2500 0.2500 0.2500
Na: 0.0000 0.0000 0.0000

Results
Total magnetic moment, μB per cell: 3.129
Space-group type: F-43m, No. 216
Electronic total energy, eV per atom: -3.64

=====

2.
A geometry-optimized NaFeGeS3 structure, computed with PBE-GGA.

Cell lengths 6.8090, 3.5376, 10.1740 Å; angles 90.00, 106.81, 90.00 degrees
Last column: magnetic moment on the atom in μB.
Positions (direct):
S: 0.2174 0.7500 0.1466  -0.01
S: 0.6214 0.2500 0.2823  -0.01
S: 0.2920 0.2500 0.4322  0.01
S: 0.7080 0.7500 0.5678  0.01
S: 0.7826 0.2500 0.8534  -0.01
S: 0.3786 0.7500 0.7177  -0.01
Fe: 0.4622 0.7500 0.3682  1.01
Fe: 0.5378 0.2500 0.6318  1.01
Na: 0.9502 0.7500 0.3110  0.00
Na: 0.0498 0.2500 0.6890  0.00
Ge: 0.6166 0.7500 0.9390  0.00
Ge: 0.3834 0.2500 0.0610  0.00

Results
Total magnetic moment, μB per cell: 1.961
Space-group type: P2_1/m, No. 11
Electronic total energy, eV per atom: -4.95

=====

3.
A geometry-optimized NaFeGeSb structure, computed with PBE-GGA.

Cell lengths 4.8656, 4.8656, 4.8656 Å; angles 60.00, 60.00, 60.00 degrees
Positions (direct):
Sb: 0.2500 0.2500 0.2500
Ge: 0.0000 0.0000 0.0000
Fe: 0.5000 0.5000 0.5000
Na: 0.7500 0.7500 0.7500

Results
Total magnetic moment, μB per cell: 2.395
Space-group type: F-43m, No. 216
Electronic total energy, eV per atom: -4.14

=====

4.
A geometry-optimized NaFeGeSb structure, computed with PBE-GGA.

Cell lengths 4.9010, 4.9010, 4.9010 Å; angles 60.00, 60.00, 60.00 degrees
Positions (direct):
Na: 0.7500 0.7500 0.7500
Ge: 0.2500 0.2500 0.2500
Sb: 0.5000 0.5000 0.5000
Fe: 0.0000 0.0000 0.0000

Results
Total magnetic moment, μB per cell: 2.762
Space-group type: F-43m, No. 216
Electronic total energy, eV per atom: -4.09

=====

5.
A geometry-optimized NaFeGeSb structure, computed with PBE-GGA.

Cell lengths 4.7529, 4.7529, 4.7529 Å; angles 60.00, 60.00, 60.00 degrees
Positions (direct):
Na: 0.7500 0.7500 0.7500
Fe: 0.2500 0.2500 0.2500
Ge: 0.0000 0.0000 0.0000
Sb: 0.5000 0.5000 0.5000

Results
Total magnetic moment, μB per cell: 2.170
Space-group type: F-43m, No. 216
Electronic total energy, eV per atom: -4.31

=====

6.
A geometry-optimized NbFe6Ge6 structure, computed with PBE-GGA.

Cell lengths 5.0261, 5.0261, 8.0598 Å; angles 90.00, 90.00, 120.19 degrees
Last column: magnetic moment on the atom in μB.
Positions (direct):
Fe: 0.0000 0.5000 0.7510  1.95
Fe: 0.5000 0.5000 0.7505  1.99
Fe: 0.5000 0.0000 0.7510  2.03
Fe: 0.5000 0.5000 0.2495  1.99
Fe: 0.0000 0.5000 0.2490  1.95
Fe: 0.5000 0.0000 0.2490  2.03
Ge: 0.6659 0.3340 0.0000  -0.06
Ge: 0.0000 0.0000 0.6622  -0.08
Ge: 0.3336 0.6665 0.5000  -0.07
Ge: 0.6665 0.3335 0.5000  -0.07
Ge: 0.3340 0.6659 0.0000  -0.06
Ge: 0.0000 0.0000 0.3379  -0.08
Nb: 0.0000 0.0000 0.0000  0.28

Results
Total magnetic moment, μB per cell: 11.826
Space-group type: Cmmm, No. 65
Electronic total energy, eV per atom: -6.92

=====

7.
A geometry-optimized NbFeGe2 structure, computed with PBE-GGA.

Cell lengths 4.4296, 4.4296, 4.4296 Å; angles 60.00, 60.00, 60.00 degrees
Positions (direct):
Fe: 0.2500 0.2500 0.2500
Ge: 0.0000 0.0000 0.0000
Ge: 0.7500 0.7500 0.7500
Nb: 0.5000 0.5000 0.5000

Results
Total magnetic moment, μB per cell: 0.997
Space-group type: F-43m, No. 216
Electronic total energy, eV per atom: -6.70

=====

8.
A geometry-optimized NbFe2Ge structure, computed with PBE-GGA.

Cell lengths 4.2817, 4.2817, 4.2817 Å; angles 60.00, 60.00, 60.00 degrees
Last column: magnetic moment on the atom in μB.
Positions (direct):
Fe: 0.0000 0.0000 0.0000  2.16
Fe: 0.7500 0.7500 0.7500  2.11
Ge: 0.5000 0.5000 0.5000  0.00
Nb: 0.2500 0.2500 0.2500  -0.44

Results
Total magnetic moment, μB per cell: 3.795
Space-group type: F-43m, No. 216
Electronic total energy, eV per atom: -7.89

=====

9.
A geometry-optimized Nb2FeGe3 structure, computed with PBE-GGA.

Cell lengths 5.2080, 5.2080, 7.6043 Å; angles 90.00, 90.00, 120.00 degrees
Positions (direct):
Ge: 0.3365 0.1683 0.2500
Ge: 0.8317 0.1683 0.2500
Ge: 0.6635 0.8317 0.7500
Ge: 0.8317 0.6635 0.2500
Ge: 0.1683 0.3365 0.7500
Ge: 0.1683 0.8317 0.7500
Nb: 0.6667 0.3333 0.9318
Nb: 0.6667 0.3333 0.5682
Nb: 0.3333 0.6667 0.0682
Nb: 0.3333 0.6667 0.4318
Fe: 0.0000 0.0000 0.5000
Fe: 0.0000 0.0000 0.0000

Results
Total magnetic moment, μB per cell: 0.016
Space-group type: P6_3/mmc, No. 194
Electronic total energy, eV per atom: -7.20

=====

10.
A geometry-optimized NbFeReGe structure, computed with PBE-GGA.

Cell lengths 4.3351, 4.3351, 4.3351 Å; angles 60.00, 60.00, 60.00 degrees
Positions (direct):
Fe: 0.7500 0.7500 0.7500
Ge: 0.0000 0.0000 0.0000
Nb: 0.5000 0.5000 0.5000
Re: 0.2500 0.2500 0.2500

Results
Total magnetic moment, μB per cell: 0.003
Space-group type: F-43m, No. 216
Electronic total energy, eV per atom: -8.90

=====

11.
A geometry-optimized TaNbFeGe structure, computed with PBE-GGA.

Cell lengths 4.4426, 4.4426, 4.4426 Å; angles 60.00, 60.00, 60.00 degrees
Positions (direct):
Nb: 0.2500 0.2500 0.2500
Ge: 0.0000 0.0000 0.0000
Fe: 0.7500 0.7500 0.7500
Ta: 0.5000 0.5000 0.5000

Results
Total magnetic moment, μB per cell: 1.969
Space-group type: F-43m, No. 216
Electronic total energy, eV per atom: -8.61

=====

12.
A geometry-optimized NbZnFeGe structure, computed with PBE-GGA.

Cell lengths 4.3623, 4.3623, 4.3623 Å; angles 60.00, 60.00, 60.00 degrees
Positions (direct):
Nb: 0.2500 0.2500 0.2500
Zn: 0.5000 0.5000 0.5000
Ge: 0.0000 0.0000 0.0000
Fe: 0.7500 0.7500 0.7500

Results
Total magnetic moment, μB per cell: 2.051
Space-group type: F-43m, No. 216
Electronic total energy, eV per atom: -5.96

=====

no.,ρ (Mg/m³)
1,4.00
2,3.51
3,5.57
4,5.45
5,5.98
6,8.15
7,7.94
8,8.29
9,8.54
10,11.75
11,10.78
12,8.11